Record 1
## La5NdTm2Th (PBE)

Data for a relaxed La5NdTm2Th crystal.

a b c (Å): 11.2457 11.2457 10.6886
angles (deg): 90.00 90.00 151.61
With the nearest neighbours (Å) after each atom.
Positions (direct):
La (0.0000, 0.0000, 0.0000)  2 Nd 3.46, 4 Tm 3.69, 6 La 3.84-3.85
La (0.0000, 0.0000, 0.5000)  2 Nd 3.46, 4 Tm 3.69, 6 La 3.84-3.85
La (0.1271, 0.8729, 0.7500)  1 Th 3.44, 4 La 3.85
La (0.2235, 0.7765, 0.0583)  2 La 3.24, 1 Nd 3.37, 3 Th 3.44-3.56
La (0.2235, 0.7765, 0.4417)  2 La 3.24, 1 Nd 3.37, 3 Th 3.44-3.56
La (0.4961, 0.5039, 0.2500)  2 Nd 3.58, 4 Tm 3.62-3.65, 6 La 3.84-3.85
La (0.5039, 0.4961, 0.7500)  2 Nd 3.58, 4 Tm 3.62-3.65, 6 La 3.84-3.85
La (0.7765, 0.2235, 0.5583)  2 La 3.24, 1 Nd 3.37, 3 Th 3.44-3.56
La (0.7765, 0.2235, 0.9417)  2 La 3.24, 1 Nd 3.37, 3 Th 3.44-3.56
La (0.8729, 0.1271, 0.2500)  1 Th 3.44, 4 La 3.85
Nd (0.1010, 0.8990, 0.2500)  6 La 3.37-3.58, 2 Th 3.71
Nd (0.8990, 0.1010, 0.7500)  6 La 3.37-3.58, 2 Th 3.71
Tm (0.3874, 0.6126, 0.5091)  1 Th 3.41, 7 La 3.62-3.71, 2 Nd 3.78
Tm (0.3874, 0.6126, 0.9909)  1 Th 3.41, 7 La 3.62-3.71, 2 Nd 3.78
Tm (0.6126, 0.3874, 0.0091)  1 Th 3.41, 7 La 3.62-3.71, 2 Nd 3.78
Tm (0.6126, 0.3874, 0.4909)  1 Th 3.41, 7 La 3.62-3.71, 2 Nd 3.78
Th (0.2850, 0.7150, 0.7500)  2 Tm 3.41, 7 La 3.44-3.56, 2 Nd 3.71
Th (0.7150, 0.2850, 0.2500)  2 Tm 3.41, 7 La 3.44-3.56, 2 Nd 3.71

Values from the calculation:
Space group = Cmcm (63)
Energy of formation from the pure elements = 0.13 eV per atom

***

Record 2
## AlOs2Br (PBE)

Data for a relaxed AlOs2Br crystal.

a b c (Å): 5.2243 5.2243 4.4024
angles (deg): 95.12 95.12 32.26
With the nearest neighbours (Å) after each atom.
Positions (direct):
Al (0.0000, 0.0000, 0.0000)  6 Os 2.58-2.82, 1 Br 2.69
Os (0.2818, 0.2818, 0.7171)  4 Br 2.57-2.72, 2 Os 2.76, 2 Al 2.82
Os (0.5541, 0.5541, 0.5423)  4 Al 2.58-2.80, 1 Br 2.59, 2 Os 2.76
Br (0.7613, 0.7613, 0.2330)  5 Os 2.57-2.72, 1 Al 2.69

Values from the calculation:
Formation energy from raw total energies = 0.76 eV per atom
Space group = Cm (8)
E above lowest polymorph = 499 meV per atom